DFT (PBE-GGA) results for crystalline LaCoRu2 at its relaxed geometry.

Values from the calculation:
Volume = 17.517 Å³/atom
Total DFT energy (no corrections) = -28.93 eV per formula unit
Energy of formation from the pure elements = 0.415 eV per atom
Energy above the most stable polymorph in this dataset = 374 meV per atom

Geometry as CIF:
```
data_LaCoRu2
_cell_length_a 3.094
_cell_length_b 4.769
_cell_length_c 9.496
_cell_angle_alpha 90.00
_cell_angle_beta 90.00
_cell_angle_gamma 90.00
_space_group_name_H-M_alt 'I m m 2'
_space_group_IT_number 44
loop_
_space_group_symop_operation_xyz
'x,y,z'
'-x,-y,z'
'-x,y,z'
'x,-y,z'
'x+1/2,y+1/2,z+1/2'
'-x+1/2,-y+1/2,z+1/2'
'-x+1/2,y+1/2,z+1/2'
'x+1/2,-y+1/2,z+1/2'
loop_
_atom_site_label
_atom_site_type_symbol
_atom_site_fract_x
_atom_site_fract_y
_atom_site_fract_z
La1 La 0.000 0.000 0.000
Co1 Co 0.000 0.500 0.224
Ru1 Ru 0.000 0.000 0.508
Ru2 Ru 0.000 0.500 0.777
```